This record from Alexandria via LeMat-Bulk describes Pr2Ni3As4Pd after structural relaxation. The functional is PBE.

a b c (Å): 4.291 4.291 9.605
angles (deg): 90.00 90.00 90.00
Fractional coordinates of all 10 atoms:
Pr1 0.000 0.500 0.247
Pr2 0.500 0.000 0.753
Ni1 0.000 0.500 0.887
Ni2 0.500 0.000 0.113
Ni3 0.500 0.500 0.500
As1 0.000 0.000 0.000
As2 0.000 0.500 0.638
As3 0.500 0.000 0.362
As4 0.500 0.500 0.000
Pd1 0.000 0.000 0.500

Output
volume = 176.9 Å³/cell
ΔE_f = -81.9 kJ/mol of atoms